Compound: Nd3Hg
Source: the Alexandria database
Functional: GGA-PBEsol
Structure: relaxed

Summary:
**E**: -4.2439 eV per atom
**Magnetization**: 0.00 μB per formula unit
**ΔH_f (0 K)**: -21.92 kJ per mole of atoms

Cell: 6.0071 6.0071 6.0071 Å, 133.37 133.37 68.07°
Closest atoms and distances in Å follow each position.
Element x y z (fractional)
1 Nd 0.0000 0.0000 0.0000  4 Hg 3.36, 8 Nd 3.44
2 Nd 0.2500 0.7500 0.5000  8 Nd 3.36-3.44, 4 Hg 3.44
3 Nd 0.7500 0.2500 0.5000  8 Nd 3.36-3.44, 4 Hg 3.44
4 Hg 0.5000 0.5000 0.0000  12 Nd 3.36-3.44

Compound: CaY2NbNi
Source: the Alexandria database
Functional: GGA-PBEsol
Structure: relaxed

Summary:
**E**: -5.9904 eV per atom
**Magnetization**: 0.00 μB per formula unit
**ΔH_f (0 K)**: 54.12 kJ per mole of atoms

Cell: 5.4210 5.4210 4.6142 Å, 90.00 90.00 90.00°
Closest atoms and distances in Å follow each position.
Element x y z (fractional)
1 Ca 0.0000 0.0000 0.0000  8 Y 3.56, 4 Ni 3.83
2 Y 0.0000 0.5000 0.5000  2 Nb 2.71
3 Y 0.5000 0.0000 0.5000  2 Nb 2.71
4 Nb 0.5000 0.5000 0.5000  2 Ni 2.31
5 Ni 0.5000 0.5000 0.0000  2 Nb 2.31

Question: What is the E in the first record?
Answer: -4.2439 eV per atom